Entry 1:
# As2RhBr | the Alexandria database | PBEsol | optimized geometry
# Polymorph energy (0 for the lowest one) (meV per atom): 0.0
# Volume (A^3/atom): 19.1
# Energy relative to the elements, uncorrected (eV per atom): -0.15
# Total moment (μB per cell): 0.00
data_As2RhBr
_space_group_name_H-M_alt 'C m m m'
_space_group_IT_number 65
_space_group_name_Hall '-C 2 2'
_cell_length_a 4.9766
_cell_length_b 9.1975
_cell_length_c 3.3414
_cell_angle_alpha 90.00
_cell_angle_beta 90.00
_cell_angle_gamma 90.00
loop_
_atom_site_label
_atom_site_type_symbol
_atom_site_fract_x
_atom_site_fract_y
_atom_site_fract_z
As1 As 0.0000 0.1960 0.0000
Rh1 Rh 0.0000 0.0000 0.5000
Br1 Br 0.0000 0.5000 0.5000

=====

Entry 2:
# AsRh2Br | the Alexandria database | PBEsol | optimized geometry
# Polymorph energy (0 for the lowest one) (meV per atom): 768.8
# Volume (A^3/atom): 16.0
# Energy relative to the elements, uncorrected (eV per atom): 0.62
# Total moment (μB per cell): 0.00
data_AsRh2Br
_space_group_name_H-M_alt 'F -4 3 m'
_space_group_IT_number 216
_space_group_name_Hall 'F -4 2 3'
_cell_length_a 6.3502
_cell_length_b 6.3502
_cell_length_c 6.3502
_cell_angle_alpha 90.00
_cell_angle_beta 90.00
_cell_angle_gamma 90.00
loop_
_atom_site_label
_atom_site_type_symbol
_atom_site_fract_x
_atom_site_fract_y
_atom_site_fract_z
As1 As 0.0000 0.0000 0.0000
Rh1 Rh 0.0000 0.0000 0.5000
Rh2 Rh 0.2500 0.2500 0.2500
Br1 Br 0.2500 0.2500 0.7500

=====

Entry 3:
# AsRh2Br | the Alexandria database | PBEsol | optimized geometry
# Polymorph energy (0 for the lowest one) (meV per atom): 114.6
# Volume (A^3/atom): 17.3
# Energy relative to the elements, uncorrected (eV per atom): -0.03
# Total moment (μB per cell): 0.00
data_AsRh2Br
_space_group_name_H-M_alt 'I m m 2'
_space_group_IT_number 44
_space_group_name_Hall 'I 2 -2'
_cell_length_a 3.1775
_cell_length_b 3.4598
_cell_length_c 12.6130
_cell_angle_alpha 90.00
_cell_angle_beta 90.00
_cell_angle_gamma 90.00
loop_
_atom_site_label
_atom_site_type_symbol
_atom_site_fract_x
_atom_site_fract_y
_atom_site_fract_z
As1 As 0.0000 0.0000 0.0000
Rh1 Rh 0.0000 0.0000 0.4357
Rh2 Rh 0.0000 0.5000 0.1248
Br1 Br 0.0000 0.5000 0.7555

=====

Entry 4:
# AsRhSeBr2 | the Alexandria database | PBEsol | optimized geometry
# Volume (A^3/atom): 26.1
# Energy relative to the elements, uncorrected (eV per atom): 0.87
# Total moment (μB per cell): 2.10
data_AsRhSeBr2
_space_group_name_H-M_alt 'P 4/m m m'
_space_group_IT_number 123
_space_group_name_Hall '-P 4 2'
_cell_length_a 5.0504
_cell_length_b 5.0504
_cell_length_c 5.1125
_cell_angle_alpha 90.00
_cell_angle_beta 90.00
_cell_angle_gamma 90.00
loop_
_atom_site_label
_atom_site_type_symbol
_atom_site_fract_x
_atom_site_fract_y
_atom_site_fract_z
As1 As 0.0000 0.0000 0.0000
Rh1 Rh 0.5000 0.5000 0.5000
Se1 Se 0.0000 0.0000 0.5000
Br1 Br 0.0000 0.5000 0.0000

=====

Entry 5:
# TaAsRhBr2 | the Alexandria database | PBEsol | optimized geometry
# Volume (A^3/atom): 24.6
# Energy relative to the elements, uncorrected (eV per atom): 0.85
# Total moment (μB per cell): 1.62
data_TaAsRhBr2
_space_group_name_H-M_alt 'P 4/m m m'
_space_group_IT_number 123
_space_group_name_Hall '-P 4 2'
_cell_length_a 4.9387
_cell_length_b 4.9387
_cell_length_c 5.0450
_cell_angle_alpha 90.00
_cell_angle_beta 90.00
_cell_angle_gamma 90.00
loop_
_atom_site_label
_atom_site_type_symbol
_atom_site_fract_x
_atom_site_fract_y
_atom_site_fract_z
Ta1 Ta 0.0000 0.0000 0.0000
As1 As 0.0000 0.0000 0.5000
Rh1 Rh 0.5000 0.5000 0.5000
Br1 Br 0.0000 0.5000 0.0000

=====

Entry 6:
# YAs2RhBr | the Alexandria database | PBEsol | optimized geometry
# Volume (A^3/atom): 29.8
# Energy relative to the elements, uncorrected (eV per atom): 0.81
# Total moment (μB per cell): 1.40
data_YAs2RhBr
_space_group_name_H-M_alt 'P 4/m m m'
_space_group_IT_number 123
_space_group_name_Hall '-P 4 2'
_cell_length_a 5.3377
_cell_length_b 5.3377
_cell_length_c 5.2321
_cell_angle_alpha 90.00
_cell_angle_beta 90.00
_cell_angle_gamma 90.00
loop_
_atom_site_label
_atom_site_type_symbol
_atom_site_fract_x
_atom_site_fract_y
_atom_site_fract_z
Y1 Y 0.0000 0.0000 0.0000
As1 As 0.0000 0.5000 0.0000
Rh1 Rh 0.5000 0.5000 0.5000
Br1 Br 0.0000 0.0000 0.5000